{
  "formula": "Sc2OsAu",
  "functional": "PBE-GGA",
  "state": "optimized geometry",
  "e_form_ev_per_atom": -0.383,
  "final_energy_ev_per_atom": -7.1759,
  "spacegroup": "Imm2 (44)",
  "vol_a3_per_atom": 18.2,
  "lattice": [[5.495, -0.003, 0.002], [2.614, 4.834, -0.002], [-3.731, -2.959, 2.742]],
  "species": ["Sc", "Sc", "Os", "Au"],
  "frac_coords": [[0.747, 0.247, 0.500], [0.017, 0.017, 0.000], [0.242, 0.742, 0.500], [0.493, 0.493, 0.000]]
}